Record 1
CaIrO3, optimized geometry, DFT PBE-GGA; E_form (uncorrected) = -1580 meV per atom
1.0
2.830 -4.575 0.000
2.830 4.575 0.000
0.000 0.000 14.128
Ca Ir O
6 6 18
Direct
0.019 0.981 0.750
0.323 0.677 0.119
0.323 0.677 0.381
0.677 0.323 0.619
0.677 0.323 0.881
0.981 0.019 0.250
0.000 0.000 0.000
0.000 0.000 0.500
0.343 0.657 0.649
0.343 0.657 0.851
0.657 0.343 0.149
0.657 0.343 0.351
0.018 0.518 0.750
0.213 0.787 0.532
0.213 0.787 0.968
0.214 0.264 0.602
0.214 0.264 0.898
0.264 0.214 0.102
0.264 0.214 0.398
0.482 0.982 0.750
0.492 0.508 0.750
0.508 0.492 0.250
0.518 0.018 0.250
0.736 0.786 0.602
0.736 0.786 0.898
0.786 0.736 0.102
0.786 0.736 0.398
0.787 0.213 0.032
0.787 0.213 0.468
0.982 0.482 0.250

***

Record 2
CsK2Au2, optimized geometry, DFT PBE-GGA; distance to the lowest polymorph of the same formula = 26 meV/atom; DFT formation energy = -235 meV/atom
1.0
9.670 0.000 0.000
0.000 9.670 0.000
0.000 0.000 4.218
Cs K Au
2 4 4
Direct
0.000 0.000 0.000
0.500 0.500 0.000
0.135 0.365 0.500
0.365 0.865 0.500
0.635 0.135 0.500
0.865 0.635 0.500
0.158 0.658 0.000
0.342 0.158 0.000
0.658 0.842 0.000
0.842 0.342 0.000

***

Record 3
TaAsO6, optimized geometry, DFT PBE-GGA; E_form (uncorrected) = -1451 meV per atom
1.0
2.668 1.540 4.358
-2.668 1.540 4.358
0.000 -3.081 4.358
Ta As O
1 1 6
Direct
0.000 0.000 0.000
0.500 0.500 0.500
0.259 0.740 0.261
0.260 0.739 0.741
0.261 0.259 0.740
0.739 0.741 0.260
0.740 0.261 0.259
0.741 0.260 0.739

***

Record 4
NdSmThZr, optimized geometry, DFT PBE-GGA; DFT formation energy = 217 meV/atom
1.0
7.840 0.000 0.000
0.000 7.840 0.000
0.000 0.000 7.840
Nd Sm Th Zr
4 4 4 4
Direct
0.000 0.000 0.000
0.000 0.500 0.500
0.500 0.000 0.500
0.500 0.500 0.000
0.250 0.250 0.750
0.250 0.750 0.250
0.750 0.250 0.250
0.750 0.750 0.750
0.250 0.250 0.250
0.250 0.750 0.750
0.750 0.250 0.750
0.750 0.750 0.250
0.000 0.000 0.500
0.000 0.500 0.000
0.500 0.000 0.000
0.500 0.500 0.500

***

Record 5
RbPd2O2, optimized geometry, DFT PBE-GGA; distance to the lowest polymorph of the same formula = 0 meV/atom; E_form (uncorrected) = -546 meV per atom
1.0
-3.044 3.044 5.140
3.044 -3.044 5.140
3.044 3.044 -5.140
Rb Pd O
2 4 4
Direct
0.375 0.625 0.750
0.625 0.375 0.250
0.000 0.000 0.000
0.000 0.000 0.500
0.000 0.500 0.000
0.500 0.000 0.500
0.116 0.366 0.750
0.366 0.116 0.250
0.634 0.884 0.750
0.884 0.634 0.250

***

Record 6
K5H2F3, optimized geometry, DFT PBE-GGA; uncorrected energy = -34.67 eV/cell
1.0
6.975 -1.948 0.000
6.975 1.948 0.000
-5.882 0.000 8.151
K H F
5 2 3
Direct
0.000 0.000 0.000
0.092 0.092 0.412
0.301 0.301 0.191
0.699 0.699 0.809
0.908 0.908 0.588
0.326 0.326 0.729
0.674 0.674 0.271
0.113 0.113 0.875
0.500 0.500 0.500
0.887 0.887 0.125

***

Record 7
LaTc2Pt, optimized geometry, DFT PBE-GGA; distance to the lowest polymorph of the same formula = 286 meV/atom; DFT formation energy = 158 meV/atom
1.0
4.122 0.000 0.000
0.000 4.122 0.000
0.000 0.000 20.094
La Tc Pt
4 8 4
Direct
0.000 0.000 0.000
0.000 0.500 0.250
0.500 0.000 0.750
0.500 0.500 0.500
0.145 0.250 0.625
0.250 0.645 0.875
0.250 0.855 0.375
0.355 0.250 0.125
0.645 0.750 0.125
0.750 0.145 0.375
0.750 0.355 0.875
0.855 0.750 0.625
0.000 0.000 0.500
0.000 0.500 0.750
0.500 0.000 0.250
0.500 0.500 0.000

***

Record 8
LiSb4Pb5, optimized geometry, DFT PBE-GGA; E_form (uncorrected) = -22 meV per atom
1.0
8.779 -2.644 0.000
8.779 2.644 0.000
-1.533 0.000 6.810
Li Sb Pb
1 4 5
Direct
0.000 0.000 0.000
0.153 0.153 0.291
0.468 0.468 0.182
0.532 0.532 0.818
0.847 0.847 0.709
0.000 0.000 0.500
0.301 0.301 0.934
0.333 0.333 0.455
0.667 0.667 0.545
0.699 0.699 0.066

***

Record 9
ScOs2Br, optimized geometry, DFT PBE-GGA; distance to the lowest polymorph of the same formula = 843 meV/atom; E_form (uncorrected) = 802 meV per atom
1.0
6.491 0.000 0.000
0.000 6.491 0.000
0.000 0.000 6.491
Sc Os Br
4 8 4
Direct
0.000 0.000 0.000
0.000 0.500 0.500
0.500 0.000 0.500
0.500 0.500 0.000
0.000 0.000 0.500
0.000 0.500 0.000
0.250 0.250 0.250
0.250 0.750 0.750
0.500 0.000 0.000
0.500 0.500 0.500
0.750 0.250 0.750
0.750 0.750 0.250
0.250 0.250 0.750
0.250 0.750 0.250
0.750 0.250 0.250
0.750 0.750 0.750

***

Record 10
CrRuPt, optimized geometry, DFT PBE-GGA; distance to the lowest polymorph of the same formula = 0 meV/atom; DFT formation energy = -91 meV/atom
1.0
2.704 0.000 0.000
0.000 2.704 0.000
0.000 0.000 11.299
Cr Ru Pt
2 2 2
Direct
0.000 0.000 0.000
0.500 0.500 0.500
0.000 0.000 0.353
0.500 0.500 0.853
0.000 0.000 0.666
0.500 0.500 0.166

***

Record 11
Nb4VIr5, optimized geometry, DFT PBE-GGA; DFT formation energy = -521 meV/atom
1.0
2.864 0.000 0.000
0.000 2.864 0.000
0.000 0.000 19.154
Nb V Ir
4 1 5
Direct
0.000 0.000 0.102
0.000 0.000 0.306
0.000 0.000 0.694
0.000 0.000 0.898
0.000 0.000 0.500
0.500 0.500 0.000
0.500 0.500 0.205
0.500 0.500 0.413
0.500 0.500 0.587
0.500 0.500 0.795

***

Record 12
H2S, optimized geometry, DFT PBE-GGA; distance to the lowest polymorph of the same formula = 5 meV/atom
1.0
13.776 0.000 0.000
0.000 13.776 0.000
0.000 0.000 4.521
H S
32 16
Direct
0.055 0.117 0.000
0.064 0.617 0.003
0.095 0.439 0.504
0.117 0.945 0.500
0.123 0.193 0.304
0.130 0.688 0.323
0.169 0.366 0.797
0.193 0.877 0.804
0.312 0.130 0.823
0.335 0.634 0.097
0.366 0.335 0.597
0.366 0.831 0.297
0.383 0.064 0.503
0.405 0.566 0.409
0.434 0.405 0.909
0.439 0.905 0.004
0.561 0.095 0.004
0.566 0.595 0.909
0.595 0.434 0.409
0.617 0.936 0.503
0.634 0.169 0.297
0.634 0.665 0.597
0.665 0.366 0.097
0.688 0.870 0.823
0.807 0.123 0.804
0.831 0.634 0.797
0.870 0.312 0.323
0.877 0.807 0.304
0.883 0.055 0.500
0.905 0.561 0.504
0.936 0.383 0.003
0.945 0.883 0.000
0.085 0.353 0.648
0.109 0.861 0.654
0.139 0.109 0.154
0.142 0.602 0.183
0.353 0.915 0.148
0.355 0.421 0.737
0.398 0.142 0.683
0.421 0.645 0.237
0.579 0.355 0.237
0.602 0.858 0.683
0.645 0.579 0.737
0.647 0.085 0.148
0.858 0.398 0.183
0.861 0.891 0.154
0.891 0.139 0.654
0.915 0.647 0.648

***

Record 13
Mg4AgSn3, optimized geometry, DFT PBE-GGA; DFT formation energy = -148 meV/atom
1.0
3.401 0.000 0.000
0.000 3.401 0.000
0.000 0.000 15.689
Mg Ag Sn
4 1 3
Direct
0.000 0.000 0.101
0.000 0.000 0.368
0.000 0.000 0.632
0.000 0.000 0.899
0.500 0.500 0.000
0.500 0.500 0.234
0.500 0.500 0.500
0.500 0.500 0.766

***

Record 14
Zr2InCu, optimized geometry, DFT PBE-GGA; DFT formation energy = 130 meV/atom
1.0
7.735 0.000 0.000
0.000 7.735 0.000
0.000 0.000 5.672
Zr In Cu
8 4 4
Direct
0.218 0.250 0.125
0.250 0.718 0.375
0.250 0.782 0.875
0.282 0.250 0.625
0.718 0.750 0.625
0.750 0.218 0.875
0.750 0.282 0.375
0.782 0.750 0.125
0.000 0.000 0.500
0.000 0.500 0.750
0.500 0.000 0.250
0.500 0.500 0.000
0.000 0.000 0.000
0.000 0.500 0.250
0.500 0.000 0.750
0.500 0.500 0.500

***

Record 15
KRbHg, optimized geometry, DFT PBE-GGA; distance to the lowest polymorph of the same formula = 37 meV/atom; DFT formation energy = -133 meV/atom
1.0
8.676 0.000 0.000
0.000 8.676 0.000
0.000 0.000 8.676
K Rb Hg
4 4 4
Direct
0.000 0.000 0.000
0.000 0.500 0.500
0.500 0.000 0.500
0.500 0.500 0.000
0.000 0.000 0.500
0.000 0.500 0.000
0.500 0.000 0.000
0.500 0.500 0.500
0.250 0.250 0.750
0.250 0.750 0.250
0.750 0.250 0.250
0.750 0.750 0.750

***

Record 16
Zr3C, optimized geometry, DFT PBE-GGA; distance to the lowest polymorph of the same formula = 307 meV/atom; DFT formation energy = -91 meV/atom
1.0
3.148 0.000 0.000
0.000 8.574 0.000
0.000 0.000 5.491
Zr C
6 2
Direct
0.000 0.000 0.000
0.000 0.176 0.492
0.000 0.824 0.492
0.500 0.324 0.992
0.500 0.500 0.500
0.500 0.676 0.992
0.000 0.500 0.201
0.500 0.000 0.701

***

Record 17
GaNi2AuI, optimized geometry, DFT PBE-GGA; E_form (uncorrected) = 943 meV per atom
1.0
4.844 0.000 0.000
0.000 4.844 0.000
0.000 0.000 5.544
Ga Ni Au I
1 2 1 1
Direct
0.000 0.000 0.000
0.000 0.500 0.500
0.500 0.000 0.500
0.500 0.500 0.500
0.500 0.500 0.000

***

Record 18
LiFe2Co, optimized geometry, DFT PBE-GGA; distance to the lowest polymorph of the same formula = 13 meV/atom; DFT formation energy = 121 meV/atom
1.0
2.418 0.000 0.000
0.000 4.052 0.000
-0.769 0.000 4.697
Li Fe Co
1 2 1
Direct
0.000 0.000 0.000
0.238 0.500 0.747
0.526 0.000 0.494
0.767 0.500 0.253

***

Record 19
LiGe2Pt, optimized geometry, DFT PBE-GGA; distance to the lowest polymorph of the same formula = 122 meV/atom; DFT formation energy = -357 meV/atom
1.0
6.307 0.000 0.000
0.000 6.307 0.000
0.000 0.000 6.307
Li Ge Pt
4 8 4
Direct
0.000 0.000 0.000
0.000 0.500 0.500
0.500 0.000 0.500
0.500 0.500 0.000
0.250 0.250 0.250
0.250 0.250 0.750
0.250 0.750 0.250
0.250 0.750 0.750
0.750 0.250 0.250
0.750 0.250 0.750
0.750 0.750 0.250
0.750 0.750 0.750
0.000 0.000 0.500
0.000 0.500 0.000
0.500 0.000 0.000
0.500 0.500 0.500

***

Record 20
Li3Ta, optimized geometry, DFT PBE-GGA; distance to the lowest polymorph of the same formula = 280 meV/atom; DFT formation energy = 488 meV/atom
1.0
2.619 0.000 0.000
0.000 5.081 0.000
0.000 0.000 10.240
Li Ta
6 2
Direct
0.000 0.000 0.000
0.000 0.500 0.269
0.000 0.500 0.731
0.500 0.000 0.231
0.500 0.000 0.769
0.500 0.500 0.500
0.000 0.000 0.500
0.500 0.500 0.000